Record 1
First-principles (PBE-GGA) data for a relaxed CaPb2F crystal, as listed in Alexandria via LeMat-Bulk.

Output
Uncorrected energy: -3.412 eV/atom
E_form (uncorrected): -0.590 eV per atom
DOS(E_F): 3.13 states/eV/cell
Space-group type: Fm-3m, No. 225
Size of the total moment: 0.000 μB per atom
Energy above the lowest structure with this stoichiometry: 0.3395 eV/atom

Lattice parameters (Å, degrees): 5.275 5.275 5.275 60.00 60.00 60.00
Positions (direct):
F 0.000 0.000 0.000
Pb 0.250 0.250 0.250
Pb 0.750 0.750 0.750
Ca 0.500 0.500 0.500


Record 2
First-principles (PBE-GGA) data for a relaxed Pr2CoH6Ir crystal, as listed in Alexandria via LeMat-Bulk.

Output
Uncorrected energy: -4.978 eV/atom
DOS(E_F): 4.69 states/eV/cell
Space-group type: I4/mmm, No. 139
Size of the total moment: 0.077 μB per atom

Lattice parameters (Å, degrees): 5.052 5.052 5.389 117.95 117.95 90.00
Last column: magnetic moment on the atom in μB.
Positions (direct):
H 0.751 0.752 0.000  0.00
H 0.203 0.203 0.406  0.00
H 0.248 0.752 0.000  0.00
H 0.797 0.797 0.594  0.00
H 0.751 0.249 0.000  0.00
H 0.248 0.249 0.000  0.00
Co 0.000 0.000 0.000  0.51
Pr 0.750 0.250 0.500  0.05
Pr 0.250 0.750 0.500  0.05
Ir 0.500 0.501 0.000  0.05


Record 3
First-principles (PBE-GGA) data for a relaxed BaCrW crystal, as listed in Alexandria via LeMat-Bulk.

Output
Uncorrected energy: -6.983 eV/atom
DOS(E_F): 2.61 states/eV/cell
Space-group type: P-6m2, No. 187
Size of the total moment: 0.261 μB per atom
ΔH_f (0 K): 1183 meV per atom
Energy above the lowest structure with this stoichiometry: 0.2487 eV/atom

Lattice parameters (Å, degrees): 4.074 4.074 5.543 90.00 90.00 120.00
Last column: magnetic moment on the atom in μB.
Positions (direct):
W 0.667 0.333 0.500  -0.68
Cr 0.333 0.667 0.500  1.33
Ba 0.000 0.000 0.000  0.03


Record 4
First-principles (PBE-GGA) data for a relaxed Sn2BiSb2 crystal, as listed in Alexandria via LeMat-Bulk.

Output
Uncorrected energy: -3.901 eV/atom
E_form (uncorrected): 0.125 eV per atom
DOS(E_F): 6.35 states/eV/cell
Space-group type: P4/mbm, No. 127
Size of the total moment: 0.000 μB per atom
Energy above the lowest structure with this stoichiometry: 0.0981 eV/atom

Lattice parameters (Å, degrees): 8.693 8.693 3.919 90.00 90.00 90.00
Positions (direct):
Sb 0.843 0.657 0.000
Sb 0.343 0.843 0.000
Sb 0.157 0.343 0.000
Sb 0.657 0.157 0.000
Bi 0.500 0.500 0.000
Bi 0.000 0.000 0.000
Sn 0.144 0.644 0.500
Sn 0.856 0.356 0.500
Sn 0.644 0.856 0.500
Sn 0.356 0.144 0.500


Record 5
First-principles (PBE-GGA) data for a relaxed Ca2AsH2O6 crystal, as listed in Alexandria via LeMat-Bulk.

Output
Uncorrected energy: -5.614 eV/atom
DOS(E_F): 5.09 states/eV/cell
Space-group type: R-3m, No. 166
Size of the total moment: 0.000 μB per atom

Lattice parameters (Å, degrees): 4.996 4.996 5.702 64.01 64.01 60.00
Positions (direct):
O 0.743 0.246 0.765
O 0.754 0.257 0.235
O 0.257 0.754 0.235
O 0.246 0.743 0.765
O 0.246 0.246 0.765
O 0.754 0.754 0.235
H 0.594 0.594 0.218
H 0.406 0.406 0.782
As 0.000 0.000 0.000
Ca 0.776 0.776 0.672
Ca 0.224 0.224 0.328


Record 6
First-principles (PBE-GGA) data for a relaxed TiZnIr crystal, as listed in Alexandria via LeMat-Bulk.

Output
Uncorrected energy: -6.506 eV/atom
DOS(E_F): 4.91 states/eV/cell
Space-group type: C2/m, No. 12
Size of the total moment: 0.000 μB per atom
ΔH_f (0 K): -496 meV per atom

Lattice parameters (Å, degrees): 2.879 4.737 7.569 112.43 90.00 107.69
Positions (direct):
Ir 0.032 0.064 0.768
Ir 0.968 0.936 0.232
Zn 0.344 0.688 0.447
Zn 0.656 0.312 0.553
Ti 0.658 0.316 0.103
Ti 0.342 0.684 0.897


Record 7
First-principles (PBE-GGA) data for a relaxed Cr4IrPt crystal, as listed in Alexandria via LeMat-Bulk.

Output
Uncorrected energy: -8.982 eV/atom
DOS(E_F): 5.40 states/eV/cell
Space-group type: F-43m, No. 216
Size of the total moment: 0.000 μB per atom
ΔH_f (0 K): -83 meV per atom

Lattice parameters (Å, degrees): 4.755 4.755 4.755 60.00 60.00 60.00
Positions (direct):
Cr 0.372 0.372 0.372
Cr 0.883 0.372 0.372
Cr 0.372 0.883 0.372
Cr 0.372 0.372 0.883
Ir 0.750 0.750 0.750
Pt 0.000 0.000 0.000


Record 8
First-principles (PBE-GGA) data for a relaxed Ce6As3PS2 crystal, as listed in Alexandria via LeMat-Bulk.

Output
Uncorrected energy: -6.914 eV/atom
E_form (uncorrected): -1.646 eV per atom
DOS(E_F): 28.99 states/eV/cell
Space-group type: C2/m, No. 12
Size of the total moment: 0.369 μB per atom

Lattice parameters (Å, degrees): 4.139 8.264 9.245 102.83 102.94 90.00
Last column: magnetic moment on the atom in μB.
Positions (direct):
Ce 0.664 0.087 0.329  0.64
Ce 0.998 0.755 0.997  0.58
Ce 0.668 0.579 0.337  0.70
Ce 0.002 0.245 0.003  0.58
Ce 0.332 0.421 0.663  0.70
Ce 0.336 0.913 0.671  0.64
As 0.167 0.833 0.334  -0.03
As 0.833 0.167 0.666  -0.03
As 0.500 0.500 0.000  -0.03
S 0.833 0.667 0.666  -0.03
S 0.167 0.333 0.334  -0.03
P 0.500 0.000 0.000  -0.03


- Look up the size of the total moment of the third one.
  0.261 μB per atom


- The highest DOS(E_F) belongs to which entry?
  Ce6As3PS2